The following is a PBEsol calculation of a relaxed Rb2NaScBr6 crystal, from Alexandria.

Lattice parameters (Å, degrees): 7.705 7.705 7.705 60.00 60.00 60.00
Fractional positions:
Rb: 0.250 0.250 0.250
Rb: 0.750 0.750 0.750
Na: 0.000 0.000 0.000
Sc: 0.500 0.500 0.500
Br: 0.260 0.260 0.740
Br: 0.260 0.740 0.260
Br: 0.260 0.740 0.740
Br: 0.740 0.260 0.260
Br: 0.740 0.260 0.740
Br: 0.740 0.740 0.260

ρ: 3.69 g/cm3
Energy relative to the elements, uncorrected: -1.709 eV/atom
Spin magnetization: 0.00 μB/f.u.


The following is a PBEsol calculation of a relaxed KLaP2 crystal, from Alexandria.

Lattice parameters (Å, degrees): 5.117 5.117 5.117 60.00 60.00 60.00
Fractional positions:
K: 0.000 0.000 0.000
La: 0.500 0.500 0.500
P: 0.250 0.250 0.250
P: 0.750 0.750 0.750

Energy of formation from the pure elements: -167.6 kJ/mol of formula units
ρ: 4.21 g/cm3
Spin magnetization: 0.01 μB/f.u.


The following is a PBEsol calculation of a relaxed ZrTiAs crystal, from Alexandria.

Lattice parameters (Å, degrees): 7.830 7.830 7.830 152.35 152.35 39.51
Fractional positions:
Zr: 0.179 0.179 0.000
Zr: 0.821 0.821 0.000
Ti: 0.000 0.500 0.500
Ti: 0.500 0.000 0.500
As: 0.371 0.371 0.000
As: 0.629 0.629 0.000

Energy of formation from the pure elements: -306.5 kJ/mol of formula units
ρ: 6.89 g/cm3
Spin magnetization: 0.00 μB/f.u.


The following is a PBEsol calculation of a relaxed Sc2SbAs crystal, from Alexandria.

Lattice parameters (Å, degrees): 9.314 9.314 9.314 20.78 20.78 20.78
Fractional positions:
Sc: 0.000 0.000 0.000
Sc: 0.237 0.237 0.237
Sb: 0.751 0.751 0.751
As: 0.498 0.498 0.498

ρ: 5.34 g/cm3
Energy relative to the elements, uncorrected: -0.207 eV/atom
Spin magnetization: 0.30 μB/f.u.


The following is a PBEsol calculation of a relaxed LiZr2Cl crystal, from Alexandria.

Lattice parameters (Å, degrees): 4.846 4.846 4.846 126.16 126.16 79.63
Fractional positions:
Li: 0.000 0.000 0.000
Zr: 0.250 0.750 0.500
Zr: 0.750 0.250 0.500
Cl: 0.500 0.500 0.000

ρ: 5.21 g/cm3
Energy relative to the elements, uncorrected: 0.102 eV/atom
E above lowest polymorph: 651 meV per atom
Spin magnetization: 0.00 μB/f.u.


The following is a PBEsol calculation of a relaxed Li2CrO4 crystal, from Alexandria.

Lattice parameters (Å, degrees): 5.273 5.358 7.727 86.14 71.33 60.68
Fractional positions:
Li: 0.053 0.225 0.451
Li: 0.340 0.711 0.179
Li: 0.660 0.289 0.821
Li: 0.947 0.775 0.549
Cr: 0.379 0.845 0.746
Cr: 0.621 0.155 0.254
O: 0.093 0.981 0.658
O: 0.285 0.721 0.940
O: 0.305 0.432 0.391
O: 0.473 0.086 0.767
O: 0.527 0.914 0.233
O: 0.695 0.568 0.609
O: 0.715 0.279 0.060
O: 0.907 0.019 0.342

ρ: 2.41 g/cm3
Energy relative to the elements, uncorrected: -1.992 eV/atom
E above lowest polymorph: 31 meV per atom
Spin magnetization: 0.00 μB/f.u.


Which of these has the highest spin magnetization? Sc2SbAs